(1)
## KCaHoI6 (GGA-PBE)

Data for a relaxed KCaHoI6 crystal.

Computed properties:
- Total DFT energy (no corrections): -3.377 eV per atom

Lattice parameters (Å, degrees): 7.9751 7.9751 15.5109 90.00 90.00 120.00
Last column: nearest neighbours and their distance in Å.
Space group P-31c (No. 163)
Inequivalent atoms, fractional coordinates:
K1 0.0000 0.0000 0.0000 [2 per cell]  6 I 3.61
Ca1 0.3333 0.6667 0.2500 [2 per cell]  6 I 3.15
Ho1 0.3333 0.6667 0.7500 [2 per cell]  6 I 3.04
I1 0.0109 0.3726 0.6357 [12 per cell]  1 Ho 3.04, 1 Ca 3.15

---

(2)
## MgSeBr2O (GGA-PBE)

Data for a relaxed MgSeBr2O crystal.

Computed properties:
- Distance to the lowest polymorph of the same formula: 0.176 eV/atom

Lattice parameters (Å, degrees): 5.2289 5.2289 5.1784 90.00 90.00 90.00
Last column: nearest neighbours and their distance in Å.
Space group P4/mmm (No. 123)
Inequivalent atoms, fractional coordinates:
Mg1 0.0000 0.0000 0.0000 [1 per cell]  2 Se 2.59, 4 Br 2.61
Se1 0.0000 0.0000 0.5000 [1 per cell]  2 Mg 2.59
Br1 0.0000 0.5000 0.0000 [2 per cell]  2 Mg 2.61
O1 0.5000 0.5000 0.5000 [1 per cell]  8 Br 3.68, 4 Se 3.70

---

(3)
## MgTc (GGA-PBE)

Data for a relaxed MgTc crystal.

Computed properties:
- Distance to the lowest polymorph of the same formula: 0.095 eV/atom
- DFT formation energy: 0.071 eV per atom

Lattice parameters (Å, degrees): 6.2962 6.2962 6.2962 90.00 90.00 90.00
Last column: nearest neighbours and their distance in Å.
Space group Fd-3m (No. 227, origin choice 2)
Inequivalent atoms, fractional coordinates:
Mg1 0.1250 0.1250 0.1250 [8 per cell]  4 Mg 2.73, 4 Tc 2.73
Tc1 0.1250 0.1250 0.6250 [8 per cell]  4 Tc 2.73, 4 Mg 2.73

---

(4)
## FeSi (GGA-PBE)

Data for a relaxed FeSi crystal.

Computed properties:
- Total DFT energy (no corrections): -7.187 eV per atom

Lattice parameters (Å, degrees): 4.5790 2.6411 3.9788 90.00 112.39 90.00
Last column: nearest neighbours and their distance in Å.
Space group C2/m (No. 12)
Inequivalent atoms, fractional coordinates:
Fe1 0.0000 0.0000 0.0000 [2 per cell]  6 Si 2.39, 6 Fe 2.64
Si1 0.0000 0.5000 0.5000 [2 per cell]  6 Fe 2.39, 6 Si 2.64

---

(5)
## Er2TmHgN (GGA-PBE)

Data for a relaxed Er2TmHgN crystal.

Computed properties:
- Total DFT energy (no corrections): -5.406 eV per atom

Lattice parameters (Å, degrees): 4.7452 4.7452 4.7164 90.00 90.00 90.00
Last column: nearest neighbours and their distance in Å.
Space group P4/mmm (No. 123)
Inequivalent atoms, fractional coordinates:
Er1 0.0000 0.5000 0.0000 [2 per cell]  2 N 2.37
Tm1 0.0000 0.0000 0.5000 [1 per cell]  2 N 2.36
Hg1 0.5000 0.5000 0.5000 [1 per cell]  8 Er 3.35, 4 Tm 3.36
N1 0.0000 0.0000 0.0000 [1 per cell]  2 Tm 2.36, 4 Er 2.37

---

(6)
## NaNb3Pd (GGA-PBE)

Data for a relaxed NaNb3Pd crystal.

Computed properties:
- Distance to the lowest polymorph of the same formula: 0.721 eV/atom
- DFT formation energy: 2.072 eV per atom

Lattice parameters (Å, degrees): 4.6395 4.6395 4.6395 90.00 90.00 90.00
Last column: nearest neighbours and their distance in Å.
Space group Pm-3m (No. 221)
Inequivalent atoms, fractional coordinates:
Na1 0.0000 0.0000 0.0000 [1 per cell]  6 Nb 2.32
Nb1 0.0000 0.0000 0.5000 [3 per cell]  2 Na 2.32
Pd1 0.5000 0.5000 0.5000 [1 per cell]  12 Nb 3.28

---

(7)
## Ba2NaTlHg6 (GGA-PBE)

Data for a relaxed Ba2NaTlHg6 crystal.

Computed properties:
- DFT formation energy: -0.137 eV per atom

Lattice parameters (Å, degrees): 11.2929 11.2929 11.2929 90.00 90.00 90.00
Last column: nearest neighbours and their distance in Å.
Space group Fm-3m (No. 225)
Inequivalent atoms, fractional coordinates:
Ba1 0.2500 0.2500 0.2500 [8 per cell]  12 Hg 3.99
Na1 0.0000 0.0000 0.0000 [4 per cell]  6 Hg 2.75
Tl1 0.0000 0.0000 0.5000 [4 per cell]  6 Hg 2.90
Hg1 0.0000 0.0000 0.2432 [24 per cell]  1 Na 2.75, 1 Tl 2.90

---

(8)
## UPaTi (GGA-PBE)

Data for a relaxed UPaTi crystal.

Computed properties:
- Distance to the lowest polymorph of the same formula: 0.219 eV/atom
- DFT formation energy: 0.222 eV per atom

Lattice parameters (Å, degrees): 9.9293 11.6105 8.8263 90.00 90.00 90.00
Last column: nearest neighbours and their distance in Å.
Space group Fdd2 (No. 43)
Inequivalent atoms, fractional coordinates:
U1 0.1145 0.0513 0.0000 [16 per cell]  1 U 2.57, 1 Pa 2.73, 1 Ti 2.85
Pa1 0.1175 0.3138 0.9420 [16 per cell]  1 U 2.73, 2 Ti 2.99-3.01, 1 Pa 3.02
Ti1 0.1078 0.3112 0.5952 [16 per cell]  4 U 2.85-3.07, 4 Pa 2.99-3.08, 1 Ti 3.16

---

(9)
## DyPaSb2C (GGA-PBE)

Data for a relaxed DyPaSb2C crystal.

Computed properties:
- Total DFT energy (no corrections): -6.778 eV per atom

Lattice parameters (Å, degrees): 4.2951 4.2951 13.2129 90.00 90.00 90.00
Last column: nearest neighbours and their distance in Å.
Space group P4/nmm (No. 129, origin choice 2)
Inequivalent atoms, fractional coordinates:
Dy1 0.2500 0.2500 0.0982 [2 per cell]  6 Sb 3.03-3.12
Pa1 0.2500 0.2500 0.5782 [2 per cell]  4 C 2.38
Sb1 0.2500 0.2500 0.3276 [2 per cell]  1 Dy 3.03, 4 C 3.13, 5 Pa 3.28-3.31
Sb2 0.2500 0.2500 0.8618 [2 per cell]  5 Dy 3.08-3.12
C1 0.2500 0.7500 0.5000 [2 per cell]  4 Pa 2.38

---

(10)
## Hg3OsPd (GGA-PBE)

Data for a relaxed Hg3OsPd crystal.

Computed properties:
- DFT formation energy: 1.082 eV per atom

Lattice parameters (Å, degrees): 5.1927 5.1927 5.1927 90.00 90.00 90.00
Last column: nearest neighbours and their distance in Å.
Space group Pm-3m (No. 221)
Inequivalent atoms, fractional coordinates:
Hg1 0.0000 0.0000 0.5000 [3 per cell]  2 Os 2.60
Os1 0.0000 0.0000 0.0000 [1 per cell]  6 Hg 2.60
Pd1 0.5000 0.5000 0.5000 [1 per cell]  12 Hg 3.67

---

(11)
## Pr3TePdCl (GGA-PBE)

Data for a relaxed Pr3TePdCl crystal.

Computed properties:
- Total DFT energy (no corrections): -5.257 eV per atom

Lattice parameters (Å, degrees): 7.6020 4.1299 11.4702 90.00 101.46 90.00
Last column: nearest neighbours and their distance in Å.
Space group P2_1/m (No. 11)
Inequivalent atoms, fractional coordinates:
Pr1 0.0356 0.2500 0.1442 [2 per cell]  3 Pd 2.98-2.99, 1 Cl 3.04
Pr2 0.2873 0.2500 0.5093 [2 per cell]  3 Cl 2.94-3.08, 3 Te 3.17-3.21
Pr3 0.4545 0.7500 0.8426 [2 per cell]  3 Pd 2.99-3.02, 1 Cl 3.26, 2 Te 3.31
Te1 0.3334 0.7500 0.3081 [2 per cell]  7 Pr 3.17-3.35
Pd1 0.2404 0.2500 0.9474 [2 per cell]  6 Pr 2.98-3.02
Cl1 0.1057 0.7500 0.6254 [2 per cell]  5 Pr 2.94-3.26

---

(12)
## Ba2InBiRu (GGA-PBE)

Data for a relaxed Ba2InBiRu crystal.

Computed properties:
- DFT formation energy: 0.838 eV per atom

Lattice parameters (Å, degrees): 6.5782 6.5782 5.5500 90.00 90.00 90.00
Last column: nearest neighbours and their distance in Å.
Space group P4/mmm (No. 123)
Inequivalent atoms, fractional coordinates:
Ba1 0.0000 0.5000 0.0000 [2 per cell]  2 In 3.29
In1 0.0000 0.0000 0.0000 [1 per cell]  2 Bi 2.78
Bi1 0.0000 0.0000 0.5000 [1 per cell]  2 In 2.78
Ru1 0.5000 0.5000 0.5000 [1 per cell]  8 Ba 4.30, 4 Bi 4.65

---

| no. | total magnetic moment (Bohr magnetons per cell) | D(E_F) (states/eV/atom) |
| --- | --- | --- |
| 1 | 0.0 | 0.000 |
| 2 | 2.1 | 2.012 |
| 3 | 0.0 | 0.262 |
| 4 | 0.4 | 1.142 |
| 5 | 0.0 | 0.699 |
| 6 | 0.0 | 1.971 |
| 7 | 0.0 | 0.649 |
| 8 | 0.0 | 2.035 |
| 9 | 0.0 | 0.799 |
| 10 | 0.9 | 0.910 |
| 11 | 0.0 | 0.693 |
| 12 | 2.3 | 1.459 |